Cs2InBi2Pb | Alexandria | PBE | relaxed; space group = Ibam, No. 72; formation enthalpy at 0 K = -0.30 eV per atom; calculated total energy = -2.95 eV per atom
1.0
8.0557 0.0000 0.0000
0.0000 7.9463 0.0000
-4.0278 -3.9731 8.5781
Cs Bi Pb In
4 4 2 2
Direct
0.9220 0.6670 0.3340
0.0780 0.3330 0.6660
0.5879 0.8330 0.6660
0.4121 0.1670 0.3340
0.8503 0.0905 0.1809
0.6694 0.4095 0.8191
0.3306 0.5905 0.1809
0.1497 0.9095 0.8191
0.5000 0.2500 0.0000
0.5000 0.7500 0.0000
0.0000 0.2500 0.0000
0.0000 0.7500 0.0000